## Pm4Nd7Sm (PBE-GGA)

Data for Pm4Nd7Sm after structural relaxation.

abc: 6.402 7.376 9.152
angles: 90.02 103.53 90.02
Element x y z (fractional)
Pm1 0.221 0.000 0.168
Pm2 0.279 0.250 0.832
Pm3 0.721 0.750 0.168
Pm4 0.779 0.000 0.832
Nd1 0.000 0.000 0.500
Nd2 0.221 0.500 0.168
Nd3 0.279 0.751 0.832
Nd4 0.500 0.250 0.500
Nd5 0.500 0.750 0.500
Nd6 0.721 0.249 0.168
Nd7 0.779 0.500 0.832
Sm1 0.000 0.500 0.500

## Properties
Energy of formation, meV per atom: 12
Symmetry: No. 2
D(E_F), states/eV per atom: 1.485
DFT total energy, eV/atom: -4.7460
Relative energy among the computed polymorphs, eV per formula unit: 0.00


## BaTb2Ru (PBE-GGA)

Data for BaTb2Ru after structural relaxation.

abc: 3.505 3.505 10.157
angles: 90.00 90.00 90.00
Element x y z (fractional)
Ba1 0.000 0.000 0.000
Tb1 0.500 0.500 0.340
Tb2 0.500 0.500 0.660
Ru1 0.000 0.000 0.500

## Properties
Energy of formation, meV per atom: -128
Symmetry: No. 123
D(E_F), states/eV per atom: 0.703
DFT total energy, eV/atom: -5.2430
Relative energy among the computed polymorphs, eV per formula unit: 0.00


## RbMnTl2I (PBE-GGA)

Data for RbMnTl2I after structural relaxation.

abc: 6.511 6.511 6.631
angles: 90.00 90.00 90.00
Element x y z (fractional)
Rb1 0.000 0.000 0.000
Mn1 0.500 0.500 0.000
Tl1 0.000 0.500 0.500
Tl2 0.500 0.000 0.500
I1 0.000 0.000 0.500

## Properties
Symmetry: No. 123
D(E_F), states/eV per atom: 1.188
Formation energy from raw total energies, meV/atom: 523
DFT total energy, eV/atom: -2.7606


## HgIr2Cl (PBE-GGA)

Data for HgIr2Cl after structural relaxation.

abc: 2.974 2.974 25.779
angles: 90.00 90.00 120.00
Element x y z (fractional)
Hg1 0.000 0.000 0.000
Hg2 0.333 0.667 0.667
Hg3 0.667 0.333 0.333
Ir1 0.000 0.000 0.244
Ir2 0.000 0.000 0.756
Ir3 0.333 0.667 0.423
Ir4 0.333 0.667 0.911
Ir5 0.667 0.333 0.089
Ir6 0.667 0.333 0.577
Cl1 0.000 0.000 0.500
Cl2 0.333 0.667 0.167
Cl3 0.667 0.333 0.833

## Properties
Symmetry: No. 166
D(E_F), states/eV per atom: 0.940
Formation energy from raw total energies, meV/atom: 751
DFT total energy, eV/atom: -4.2161
Relative energy among the computed polymorphs, eV per formula unit: 1.78


## ErHPb (PBE-GGA)

Data for ErHPb after structural relaxation.

abc: 3.600 5.721 6.578
angles: 112.80 105.82 90.03
Element x y z (fractional)
Er1 0.132 0.293 0.263
Er2 0.868 0.707 0.737
H1 0.278 0.638 0.557
H2 0.722 0.362 0.443
Pb1 0.392 0.225 0.780
Pb2 0.608 0.775 0.220

## Properties
Symmetry: No. 2
D(E_F), states/eV per atom: 0.182
DFT total energy, eV/atom: -4.3522
Relative energy among the computed polymorphs, eV per formula unit: 0.18


## Ti2GaBiIr (PBE-GGA)

Data for Ti2GaBiIr after structural relaxation.

abc: 4.866 4.866 4.736
angles: 90.00 90.00 90.00
Element x y z (fractional)
Ti1 0.000 0.500 0.000
Ti2 0.500 0.000 0.000
Ga1 0.000 0.000 0.500
Bi1 0.500 0.500 0.500
Ir1 0.000 0.000 0.000

## Properties
Energy of formation, meV per atom: 6
Symmetry: No. 123
D(E_F), states/eV per atom: 0.907
DFT total energy, eV/atom: -6.3053


## Ag2IrBr (PBE-GGA)

Data for Ag2IrBr after structural relaxation.

abc: 7.713 7.713 5.370
angles: 90.00 90.00 90.00
Element x y z (fractional)
Ag1 0.236 0.250 0.125
Ag2 0.250 0.736 0.375
Ag3 0.250 0.764 0.875
Ag4 0.264 0.250 0.625
Ag5 0.736 0.750 0.625
Ag6 0.750 0.236 0.875
Ag7 0.750 0.264 0.375
Ag8 0.764 0.750 0.125
Ir1 0.000 0.000 0.000
Ir2 0.000 0.500 0.250
Ir3 0.500 0.000 0.750
Ir4 0.500 0.500 0.500
Br1 0.000 0.000 0.500
Br2 0.000 0.500 0.750
Br3 0.500 0.000 0.250
Br4 0.500 0.500 0.000

## Properties
Symmetry: No. 122
D(E_F), states/eV per atom: 0.600
Formation energy from raw total energies, meV/atom: 770
DFT total energy, eV/atom: -3.2891
Relative energy among the computed polymorphs, eV per formula unit: 1.30


## Hf2GaN (PBE-GGA)

Data for Hf2GaN after structural relaxation.

abc: 3.208 3.208 21.080
angles: 90.00 90.00 120.00
Element x y z (fractional)
Hf1 0.000 0.000 0.000
Hf2 0.000 0.000 0.213
Hf3 0.333 0.667 0.667
Hf4 0.333 0.667 0.879
Hf5 0.667 0.333 0.333
Hf6 0.667 0.333 0.546
Ga1 0.000 0.000 0.439
Ga2 0.333 0.667 0.106
Ga3 0.667 0.333 0.772
N1 0.000 0.000 0.608
N2 0.333 0.667 0.274
N3 0.667 0.333 0.941

## Properties
Symmetry: No. 160
D(E_F), states/eV per atom: 0.491
Formation energy from raw total energies, meV/atom: -1117
DFT total energy, eV/atom: -8.9314


## Pr3Sm2YSe6 (PBE-GGA)

Data for Pr3Sm2YSe6 after structural relaxation.

abc: 7.266 7.266 7.330
angles: 99.49 99.49 120.27
Element x y z (fractional)
Pr1 0.000 0.000 0.000
Pr2 0.330 0.670 0.000
Pr3 0.670 0.330 0.000
Sm1 0.167 0.833 0.500
Sm2 0.833 0.167 0.500
Y1 0.500 0.500 0.500
Se1 0.093 0.421 0.262
Se2 0.252 0.252 0.741
Se3 0.421 0.093 0.262
Se4 0.579 0.907 0.738
Se5 0.748 0.748 0.259
Se6 0.907 0.579 0.738

## Properties
Symmetry: No. 12
D(E_F), states/eV per atom: 0.480
Formation energy from raw total energies, meV/atom: -1826
DFT total energy, eV/atom: -6.0887


## SrBe2Os (PBE-GGA)

Data for SrBe2Os after structural relaxation.

abc: 6.320 6.320 6.320
angles: 90.00 90.00 90.00
Element x y z (fractional)
Sr1 0.000 0.000 0.000
Sr2 0.000 0.500 0.500
Sr3 0.500 0.000 0.500
Sr4 0.500 0.500 0.000
Be1 0.250 0.250 0.250
Be2 0.250 0.250 0.750
Be3 0.250 0.750 0.250
Be4 0.250 0.750 0.750
Be5 0.750 0.250 0.250
Be6 0.750 0.250 0.750
Be7 0.750 0.750 0.250
Be8 0.750 0.750 0.750
Os1 0.000 0.000 0.500
Os2 0.000 0.500 0.000
Os3 0.500 0.000 0.000
Os4 0.500 0.500 0.500

## Properties
Energy of formation, meV per atom: 732
Symmetry: No. 225
D(E_F), states/eV per atom: 1.052
DFT total energy, eV/atom: -4.3592
Relative energy among the computed polymorphs, eV per formula unit: 2.75


## CaLa3Pd4 (PBE-GGA)

Data for CaLa3Pd4 after structural relaxation.

abc: 7.280 7.280 7.280
angles: 90.00 90.00 90.00
Element x y z (fractional)
Ca1 0.000 0.000 0.000
Ca2 0.500 0.500 0.500
La1 0.000 0.000 0.500
La2 0.000 0.500 0.000
La3 0.000 0.500 0.500
La4 0.500 0.000 0.000
La5 0.500 0.000 0.500
La6 0.500 0.500 0.000
Pd1 0.250 0.250 0.250
Pd2 0.250 0.250 0.750
Pd3 0.250 0.750 0.250
Pd4 0.250 0.750 0.750
Pd5 0.750 0.250 0.250
Pd6 0.750 0.250 0.750
Pd7 0.750 0.750 0.250
Pd8 0.750 0.750 0.750

## Properties
Energy of formation, meV per atom: -762
Symmetry: No. 229
D(E_F), states/eV per atom: 0.704
DFT total energy, eV/atom: -5.4562


## Sm3AlSi6Pd2 (PBE-GGA)

Data for Sm3AlSi6Pd2 after structural relaxation.

abc: 5.762 5.762 8.208
angles: 90.00 90.00 120.00
Element x y z (fractional)
Sm1 0.000 0.000 0.000
Sm2 0.333 0.667 0.618
Sm3 0.667 0.333 0.382
Al1 0.000 0.000 0.500
Si1 0.193 0.385 0.280
Si2 0.193 0.807 0.280
Si3 0.385 0.193 0.720
Si4 0.615 0.807 0.280
Si5 0.807 0.193 0.720
Si6 0.807 0.615 0.720
Pd1 0.333 0.667 0.029
Pd2 0.667 0.333 0.971

## Properties
Symmetry: No. 164
D(E_F), states/eV per atom: 0.370
Formation energy from raw total energies, meV/atom: -414
DFT total energy, eV/atom: -5.4824